CdPdN2O: relaxed, PBE.

Output
- Crystal system: tetragonal
- M_tot: 4.61 μB/cell
- Uncorrected formation energy: 1955.9 meV per atom

a = 4.2291 Å, b = 4.2291 Å, c = 4.2312 Å
α = 90.00°, β = 90.00°, γ = 90.00°
Closest atoms and distances in Å follow each position.
Space group P4/mmm (No. 123)
Asymmetric unit:
Cd (0.0000, 0.0000, 0.0000) (multiplicity 1)  4 N 2.11, 2 O 2.12
Pd (0.5000, 0.5000, 0.5000) (multiplicity 1)  4 O 2.99, 8 N 2.99
N (0.0000, 0.5000, 0.0000) (multiplicity 2)  2 Cd 2.11
O (0.0000, 0.0000, 0.5000) (multiplicity 1)  2 Cd 2.12

***

K3Na2Tl5: relaxed, PBE.

Output
- Crystal system: orthorhombic
- M_tot: 0.00 μB/cell
- Energy relative to the lowest polymorph listed for this composition: 42 meV per atom
- Formation energy from the elements: -0.027 eV per atom

a = 14.7347 Å, b = 14.8306 Å, c = 7.2123 Å
α = 90.00°, β = 90.00°, γ = 90.00°
Closest atoms and distances in Å follow each position.
Space group Ibam (No. 72)
Asymmetric unit:
K (0.0000, 0.0000, 0.2500) (multiplicity 4)  2 K 3.61, 2 Tl 3.68, 4 Na 3.85
K (0.2100, 0.3975, 0.0000) (multiplicity 8)  1 Na 3.56, 5 Tl 3.65-3.89
Na (0.1634, 0.1621, 0.0000) (multiplicity 8)  3 Tl 3.09-3.27
Tl (0.0000, 0.2479, 0.2500) (multiplicity 8)  2 Tl 3.19, 2 Na 3.27
Tl (0.0000, 0.5000, 0.2500) (multiplicity 4)  6 Tl 3.25-3.61
Tl (0.1291, 0.3702, 0.5000) (multiplicity 8)  1 Na 3.09, 4 Tl 3.19-3.25

***

TiReTc2: relaxed, PBE.

Output
- Crystal system: tetragonal
- M_tot: 0.00 μB/cell
- Energy relative to the lowest polymorph listed for this composition: 771 meV per atom
- Formation energy from the elements: 0.498 eV per atom

a = 7.1146 Å, b = 7.1146 Å, c = 5.1680 Å
α = 90.00°, β = 90.00°, γ = 90.00°
Closest atoms and distances in Å follow each position.
Space group I-42d (No. 122)
Asymmetric unit:
Ti (0.0000, 0.0000, 0.0000) (multiplicity 4)  2 Re 2.58, 4 Tc 2.68
Re (0.0000, 0.0000, 0.5000) (multiplicity 4)  4 Tc 2.52, 2 Ti 2.58
Tc (0.2332, 0.2500, 0.6250) (multiplicity 8)  2 Re 2.52, 2 Tc 2.59, 2 Ti 2.68

***

PrNd5Y12: relaxed, PBE.

Output
- Crystal system: monoclinic
- M_tot: 0.00 μB/cell
- Formation energy from the elements: 0.016 eV per atom

a = 18.7642 Å, b = 10.7978 Å, c = 6.2518 Å
α = 90.00°, β = 109.33°, γ = 90.00°
Closest atoms and distances in Å follow each position.
Space group C2/m (No. 12)
Asymmetric unit:
Pr (0.0000, 0.0000, 0.0000) (multiplicity 2)  10 Y 3.59-3.62, 2 Nd 3.62
Nd (0.0000, 0.5000, 0.5000) (multiplicity 2)  10 Y 3.59-3.61, 2 Nd 3.62
Nd (0.1669, 0.0000, 0.5005) (multiplicity 4)  10 Y 3.59-3.62, 1 Nd 3.61, 1 Pr 3.62
Nd (0.1667, 0.5000, 0.9999) (multiplicity 4)  10 Y 3.59-3.61, 2 Nd 3.61-3.62
Y (0.0000, 0.1678, 0.5000) (multiplicity 4)  3 Nd 3.59-3.62, 7 Y 3.60-3.62, 2 Pr 3.61
Y (0.0000, 0.3327, 0.0000) (multiplicity 4)  1 Pr 3.59, 7 Y 3.60-3.62, 4 Nd 3.61
Y (0.1668, 0.1677, 0.0002) (multiplicity 8)  4 Nd 3.59-3.61, 7 Y 3.59-3.62, 1 Pr 3.62
Y (0.1667, 0.3325, 0.4998) (multiplicity 8)  5 Nd 3.59-3.61, 7 Y 3.60-3.62

***

BaNpPa2S8: relaxed, PBE.

Output
- Crystal system: monoclinic
- M_tot: 3.00 μB/cell
- Uncorrected formation energy: -1477.8 meV per atom

a = 6.3125 Å, b = 8.4889 Å, c = 6.4240 Å
α = 90.00°, β = 91.85°, γ = 90.00°
Closest atoms and distances in Å follow each position.
Space group P2/m (No. 10)
Asymmetric unit:
Ba (0.0000, 0.0000, 0.0000) (multiplicity 1)  6 S 3.07-3.10
Np (0.0000, 0.5000, 0.0000) (multiplicity 1)  6 S 2.64-2.86
Pa (0.5000, 0.2533, 0.5000) (multiplicity 2)  6 S 2.62-2.73
S (0.2553, 0.2837, 0.1658) (multiplicity 4)  1 Pa 2.62, 1 Np 2.64
S (0.2799, 0.5000, 0.6588) (multiplicity 2)  2 Pa 2.73, 1 Np 2.86
S (0.2822, 0.0000, 0.6143) (multiplicity 2)  2 Pa 2.67

***

Si2TeIr: relaxed, PBE.

Output
- Crystal system: tetragonal
- M_tot: 0.00 μB/cell
- Uncorrected formation energy: 610.5 meV per atom

a = 3.8373 Å, b = 3.8373 Å, c = 4.8789 Å
α = 90.00°, β = 90.00°, γ = 90.00°
Closest atoms and distances in Å follow each position.
Space group P4/mmm (No. 123)
Asymmetric unit:
Si (0.0000, 0.5000, 0.0000) (multiplicity 2)  4 Si 2.71
Te (0.0000, 0.0000, 0.5000) (multiplicity 1)  4 Ir 2.71
Ir (0.5000, 0.5000, 0.5000) (multiplicity 1)  4 Te 2.71

***

YAlB3: relaxed, PBE.

Output
- Crystal system: cubic
- M_tot: 0.00 μB/cell
- Energy relative to the lowest polymorph listed for this composition: 1379 meV per atom
- Formation energy from the elements: 2.226 eV per atom

a = 4.6365 Å, b = 4.6365 Å, c = 4.6365 Å
α = 90.00°, β = 90.00°, γ = 90.00°
Closest atoms and distances in Å follow each position.
Space group Pm-3m (No. 221)
Asymmetric unit:
Y (0.0000, 0.0000, 0.0000) (multiplicity 1)  6 B 2.32
Al (0.5000, 0.5000, 0.5000) (multiplicity 1)  12 B 3.28
B (0.0000, 0.0000, 0.5000) (multiplicity 3)  2 Y 2.32

***

KLi2Os: relaxed, PBE.

Output
- Crystal system: tetragonal
- M_tot: 5.27 μB/cell
- Energy relative to the lowest polymorph listed for this composition: 659 meV per atom
- Formation energy from the elements: 1.228 eV per atom

a = 5.0499 Å, b = 5.0499 Å, c = 17.4086 Å
α = 90.00°, β = 90.00°, γ = 90.00°
Closest atoms and distances in Å follow each position.
Space group I4_1/amd (No. 141, origin choice 2)
Asymmetric unit:
K (0.0000, 0.2500, 0.3750) (multiplicity 4)  8 Li 3.56, 4 Os 3.57
Li (0.0000, 0.0000, 0.0000) (multiplicity 8)  2 Os 2.52, 2 Li 2.52
Os (0.0000, 0.2500, 0.8750) (multiplicity 4)  4 Li 2.52

***

Li3Zr4F19: relaxed, PBE.

Output
- Crystal system: triclinic
- M_tot: 0.06 μB/cell
- Uncorrected formation energy: -3532.3 meV per atom

a = 5.5174 Å, b = 11.0141 Å, c = 12.9604 Å
α = 107.64°, β = 92.40°, γ = 102.93°
Closest atoms and distances in Å follow each position.
Space group P-1 (No. 2)
Asymmetric unit:
Li (0.0245, 0.3404, 0.4430) (multiplicity 2)  3 F 1.94-2.03
Li (0.0959, 0.0012, 0.3010) (multiplicity 2)  4 F 1.95-2.13
Li (0.2159, 0.2428, 0.9876) (multiplicity 2)  4 F 1.98-2.17
Zr (0.1643, 0.6233, 0.1307) (multiplicity 2)  7 F 1.97-2.21
Zr (0.3631, 0.8827, 0.8669) (multiplicity 2)  7 F 1.99-2.21
Zr (0.3995, 0.5521, 0.7090) (multiplicity 2)  7 F 1.97-2.18
Zr (0.4393, 0.1626, 0.5543) (multiplicity 2)  7 F 2.00-2.20
F (0.0062, 0.7748, 0.1511) (multiplicity 2)  1 Zr 2.00, 1 Li 2.07
F (0.0833, 0.8026, 0.9395) (multiplicity 2)  1 Li 1.98, 1 Zr 2.02
F (0.1142, 0.4804, 0.7969) (multiplicity 2)  2 Zr 2.13
F (0.1251, 0.4297, 0.0068) (multiplicity 2)  1 Li 2.17, 2 Zr 2.19-2.21, 1 F 2.33
F (0.1399, 0.9517, 0.7870) (multiplicity 2)  1 Li 1.95, 1 Zr 1.99
F (0.1588, 0.5043, 0.5742) (multiplicity 2)  1 Zr 2.01, 2 Li 2.03-2.23
F (0.1651, 0.0900, 0.6314) (multiplicity 2)  1 Li 1.96, 1 Zr 2.00
F (0.1991, 0.1768, 0.4375) (multiplicity 2)  1 Zr 2.04, 2 Li 2.13-2.21
F (0.2312, 0.7164, 0.7203) (multiplicity 2)  2 Zr 2.16-2.18, 1 Li 2.33, 1 F 2.38
F (0.2573, 0.7533, 0.5031) (multiplicity 2)  1 Li 1.94, 1 Zr 2.01
F (0.3014, 0.3889, 0.3573) (multiplicity 2)  1 Zr 1.97, 1 Li 2.00
F (0.3291, 0.7473, 0.2868) (multiplicity 2)  2 Zr 2.10-2.20
F (0.3519, 0.0450, 0.2061) (multiplicity 2)  1 Li 1.99, 1 Zr 2.01
F (0.3723, 0.3514, 0.6248) (multiplicity 2)  2 Zr 2.12
F (0.3720, 0.9807, 0.4179) (multiplicity 2)  2 Zr 2.18, 1 Li 2.20, 1 F 2.37
F (0.3732, 0.0714, 0.9861) (multiplicity 2)  2 Zr 2.17-2.20, 1 Li 2.24, 1 F 2.42
F (0.3783, 0.5128, 0.1912) (multiplicity 2)  2 Zr 2.12-2.15
F (0.4560, 0.6892, 0.0625) (multiplicity 2)  1 Zr 1.97, 1 Li 2.01
F (0.4650, 0.2828, 0.1437) (multiplicity 2)  2 Zr 2.16-2.21, 1 Li 2.26, 1 F 2.38

***

In2PO5: relaxed, PBE.

Output
- Crystal system: monoclinic
- M_tot: 0.00 μB/cell
- Uncorrected formation energy: -1693.8 meV per atom

a = 8.3890 Å, b = 8.3911 Å, c = 7.7875 Å
α = 90.00°, β = 122.50°, γ = 90.00°
Closest atoms and distances in Å follow each position.
Space group C2/c (No. 15)
Asymmetric unit:
In (0.0000, 0.0000, 0.0000) (multiplicity 4)  6 O 2.22-2.37
In (0.2500, 0.2500, 0.0000) (multiplicity 4)  6 O 2.21-2.35
P (0.0000, 0.3766, 0.2500) (multiplicity 4)  4 O 1.57
O (0.0000, 0.1267, 0.7500) (multiplicity 4)  4 In 2.21-2.22
O (0.0470, 0.2664, 0.1204) (multiplicity 8)  1 P 1.57
O (0.1755, 0.4867, 0.3842) (multiplicity 8)  1 P 1.57

***

Tm7Tl2Ga2: relaxed, PBE.

Output
- Crystal system: orthorhombic
- M_tot: 0.00 μB/cell
- Formation energy from the elements: -0.041 eV per atom

a = 7.4288 Å, b = 10.7430 Å, c = 7.8607 Å
α = 90.00°, β = 90.00°, γ = 90.00°
Closest atoms and distances in Å follow each position.
Space group Cmmm (No. 65)
Asymmetric unit:
Tm (0.0000, 0.0000, 0.0000) (multiplicity 2)  2 Tl 3.23
Tm (0.0000, 0.5000, 0.2845) (multiplicity 4)  2 Ga 2.97, 2 Tl 3.09, 4 Tm 3.27
Tm (0.2500, 0.2500, 0.2974) (multiplicity 8)  2 Tl 3.04, 2 Ga 3.18, 3 Tm 3.18-3.27
Tl (0.0000, 0.3009, 0.0000) (multiplicity 4)  7 Tm 3.04-3.23
Ga (0.1709, 0.0000, 0.5000) (multiplicity 4)  1 Ga 2.54

***

YTmScTl: relaxed, PBE.

Output
- Crystal system: cubic
- M_tot: 5.80 μB/cell
- Energy relative to the lowest polymorph listed for this composition: 122 meV per atom
- Formation energy from the elements: -0.052 eV per atom

a = 7.5569 Å, b = 7.5569 Å, c = 7.5569 Å
α = 90.00°, β = 90.00°, γ = 90.00°
Closest atoms and distances in Å follow each position.
Space group F-43m (No. 216)
Asymmetric unit:
Y (0.0000, 0.0000, 0.0000) (multiplicity 4)  4 Tl 3.27, 4 Sc 3.27
Tm (0.0000, 0.0000, 0.5000) (multiplicity 4)  4 Tl 3.27, 4 Sc 3.27
Sc (0.2500, 0.2500, 0.2500) (multiplicity 4)  4 Tm 3.27, 4 Y 3.27
Tl (0.2500, 0.2500, 0.7500) (multiplicity 4)  4 Tm 3.27, 4 Y 3.27

***

Pm2GaPt4: relaxed, PBE.

Output
- Crystal system: triclinic
- M_tot: 0.00 μB/cell
- Formation energy from the elements: -0.927 eV per atom

a = 4.9547 Å, b = 5.0191 Å, c = 7.2982 Å
α = 70.30°, β = 83.09°, γ = 67.51°
Closest atoms and distances in Å follow each position.
Space group P-1 (No. 2)
Asymmetric unit:
Pm (0.0053, 0.3466, 0.2825) (multiplicity 2)  8 Pt 2.93-3.22
Ga (0.5000, 0.0000, 0.0000) (multiplicity 1)  6 Pt 2.48-2.68
Pt (0.0000, 0.0000, 0.0000) (multiplicity 1)  2 Ga 2.48, 2 Pt 2.77
Pt (0.3432, 0.6799, 0.3416) (multiplicity 2)  3 Pt 2.63-2.85, 1 Ga 2.68, 1 Pm 2.93
Pt (0.5000, 0.5000, 0.0000) (multiplicity 1)  2 Ga 2.51, 2 Pt 2.77

***

TbTm12Sc6: relaxed, PBE.

Output
- Crystal system: cubic
- M_tot: 0.00 μB/cell
- Energy relative to the lowest polymorph listed for this composition: 0 meV per atom
- Formation energy from the elements: 0.243 eV per atom

a = 10.3367 Å, b = 10.3367 Å, c = 10.3367 Å
α = 90.00°, β = 90.00°, γ = 90.00°
Closest atoms and distances in Å follow each position.
Space group Im-3 (No. 204)
Asymmetric unit:
Tb (0.0000, 0.0000, 0.0000) (multiplicity 2)  12 Tm 3.41
Tm (0.0000, 0.2661, 0.1949) (multiplicity 24)  1 Sc 2.97
Sc (0.0000, 0.1381, 0.5000) (multiplicity 12)  1 Sc 2.85, 2 Tm 2.97

***

LaTbHo2S6: relaxed, PBE.

Output
- Crystal system: trigonal
- M_tot: 0.00 μB/cell
- Uncorrected formation energy: -2080.8 meV per atom

a = 7.0172 Å, b = 7.0172 Å, c = 18.5172 Å
α = 90.00°, β = 90.00°, γ = 120.00°
Closest atoms and distances in Å follow each position.
Space group R3 (No. 146, hexagonal axes)
Asymmetric unit:
La (0.0000, 0.0000, 0.0000) (multiplicity 3)  6 S 2.84-2.96
Tb (0.0000, 0.0000, 0.4921) (multiplicity 3)  6 S 2.75-2.80
Ho (0.0000, 0.0000, 0.2887) (multiplicity 3)  6 S 2.71-2.77
Ho (0.0000, 0.0000, 0.7929) (multiplicity 3)  6 S 2.69-2.77
S (0.0082, 0.3073, 0.8887) (multiplicity 9)  2 Ho 2.71-2.77, 1 Tb 2.75, 1 La 2.96
S (0.0270, 0.6364, 0.0557) (multiplicity 9)  2 Ho 2.69-2.77, 1 Tb 2.80, 1 La 2.84

***

MgTa2Ag: relaxed, PBE.

Output
- Crystal system: monoclinic
- M_tot: 0.00 μB/cell
- Formation energy from the elements: 0.253 eV per atom

a = 10.5119 Å, b = 2.9028 Å, c = 4.9024 Å
α = 90.00°, β = 100.41°, γ = 90.00°
Closest atoms and distances in Å follow each position.
Space group C2/m (No. 12)
Asymmetric unit:
Mg (0.0000, 0.0000, 0.0000) (multiplicity 2)  4 Ag 2.85, 2 Mg 2.90, 6 Ta 3.07-3.09
Ta (0.2462, 0.0000, 0.7465) (multiplicity 4)  6 Ta 2.83-2.90, 3 Ag 3.02-3.12, 3 Mg 3.07-3.09
Ag (0.0000, 0.5000, 0.5000) (multiplicity 2)  4 Mg 2.85, 2 Ag 2.90, 6 Ta 3.02-3.12

***

Cs3Hg7Pt2: relaxed, PBE.

Output
- Crystal system: orthorhombic
- M_tot: 0.00 μB/cell
- Energy relative to the lowest polymorph listed for this composition: 10 meV per atom
- Formation energy from the elements: -0.274 eV per atom

a = 5.4747 Å, b = 28.1472 Å, c = 5.4310 Å
α = 90.00°, β = 90.00°, γ = 90.00°
Closest atoms and distances in Å follow each position.
Space group Cmmm (No. 65)
Asymmetric unit:
Cs (0.0000, 0.0000, 0.0000) (multiplicity 2)  12 Hg 3.86-3.88
Cs (0.0000, 0.1897, 0.0000) (multiplicity 4)  10 Hg 3.75-4.15
Hg (0.0000, 0.0979, 0.5000) (multiplicity 4)  2 Pt 2.74
Hg (0.0000, 0.3013, 0.5000) (multiplicity 4)  1 Pt 2.83
Hg (0.0000, 0.4022, 0.0000) (multiplicity 4)  2 Pt 2.72
Hg (0.0000, 0.5000, 0.5000) (multiplicity 2)  2 Pt 2.77
Pt (0.0000, 0.4018, 0.5000) (multiplicity 4)  6 Hg 2.72-2.83

***

KCdTcO4: relaxed, PBE.

Output
- Crystal system: monoclinic
- M_tot: 0.00 μB/cell
- Uncorrected formation energy: -1331.1 meV per atom

a = 6.7607 Å, b = 5.8845 Å, c = 7.5715 Å
α = 90.00°, β = 113.41°, γ = 90.00°
Closest atoms and distances in Å follow each position.
Space group P2_1/m (No. 11)
Asymmetric unit:
K (0.2315, 0.2500, 0.0454) (multiplicity 2)  6 O 2.81-2.98
Cd (0.1003, 0.7500, 0.5404) (multiplicity 2)  2 O 2.58
Tc (0.4930, 0.2500, 0.7086) (multiplicity 2)  4 O 1.76-1.78
O (0.2209, 0.7500, 0.1896) (multiplicity 2)  1 Tc 1.78
O (0.3904, 0.0082, 0.7820) (multiplicity 4)  1 Tc 1.77
O (0.3904, 0.2500, 0.4561) (multiplicity 2)  1 Tc 1.76

***

CsLiDyCl5: relaxed, PBE.

Output
- Crystal system: monoclinic
- M_tot: 0.00 μB/cell
- Uncorrected formation energy: -2122.0 meV per atom

a = 9.2661 Å, b = 12.3995 Å, c = 10.1842 Å
α = 90.00°, β = 114.07°, γ = 90.00°
Closest atoms and distances in Å follow each position.
Space group C2/c (No. 15)
Asymmetric unit:
Cs (0.0000, 0.1610, 0.2500) (multiplicity 4)  7 Cl 3.43-3.75
Li (0.0000, 0.1919, 0.7500) (multiplicity 4)  4 Cl 2.44-2.47
Dy (0.0000, 0.5000, 0.0000) (multiplicity 4)  6 Cl 2.65-2.66
Cl (0.0000, 0.4373, 0.2500) (multiplicity 4)  2 Dy 2.66
Cl (0.0907, 0.3025, 0.6003) (multiplicity 8)  1 Li 2.44, 1 Dy 2.65
Cl (0.2047, 0.0686, 0.9110) (multiplicity 8)  1 Li 2.47, 1 Dy 2.65

***

KSrSc: relaxed, PBE.

Output
- Crystal system: tetragonal
- M_tot: 2.43 μB/cell
- Energy relative to the lowest polymorph listed for this composition: 1 meV per atom
- Formation energy from the elements: 0.444 eV per atom

a = 3.8027 Å, b = 3.8027 Å, c = 18.5430 Å
α = 90.00°, β = 90.00°, γ = 90.00°
Closest atoms and distances in Å follow each position.
Space group I4mm (No. 107)
Asymmetric unit:
K (0.0000, 0.0000, 0.0000) (multiplicity 2)  4 K 3.80, 4 Sc 4.07
Sr (0.0000, 0.0000, 0.7018) (multiplicity 2)  4 Sc 3.66, 4 Sr 3.80
Sc (0.0000, 0.0000, 0.3355) (multiplicity 2)  4 Sr 3.66, 4 Sc 3.80, 4 K 4.07